# SCAN La2YPt2, PBEsol geometry
data_La2YPt2
_chemical_formula_sum 'La4 Y2 Pt4'
_cell_length_a 7.8258
_cell_length_b 7.8258
_cell_length_c 4.0740
_cell_angle_alpha 90.00
_cell_angle_beta 90.00
_cell_angle_gamma 90.00
_symmetry_space_group_name_H-M 'P 4/m b m'
_symmetry_Int_Tables_number 127
_symmetry_space_group_name_Hall '-P 4 2ab'
loop_
_atom_site_label
_atom_site_type_symbol
_atom_site_fract_x
_atom_site_fract_y
_atom_site_fract_z
_atom_site_occupancy
La1 La 0.1649 0.3351 0.0000 1
Y1 Y 0.0000 0.0000 0.5000 1
Pt1 Pt 0.1362 0.6362 0.5000 1
# Fermi-level density of states   8.4 states/eV/cell
# Energy of formation from the pure elements   -1161.7 meV per atom
# VASP energy   -52.050 eV/atom